1.
VASP calculation (PBE) on LiUPb2S5 after structural relaxation.

a = 8.8738 Å, b = 8.8738 Å, c = 13.0402 Å
α = 90.00°, β = 90.00°, γ = 153.73°
Atoms (fractional coordinates):
Li1 0.0630 0.9370 0.5000
Li2 0.9370 0.0630 0.0000
U1 0.2795 0.7205 0.0751
U2 0.7205 0.2795 0.5751
Pb1 0.3949 0.6051 0.3367
Pb2 0.4108 0.5892 0.6956
Pb3 0.5892 0.4108 0.1956
Pb4 0.6051 0.3949 0.8367
S1 0.0056 0.9944 0.3299
S2 0.1305 0.8695 0.0453
S3 0.2042 0.7958 0.4486
S4 0.2371 0.7629 0.7077
S5 0.4267 0.5733 0.1087
S6 0.5733 0.4267 0.6087
S7 0.7629 0.2371 0.2077
S8 0.7958 0.2042 0.9486
S9 0.8695 0.1305 0.5453
S10 0.9944 0.0056 0.8299

Its symmetry is Cmc2_1 (36). The value obtained for the density of states at the Fermi level is 8.72 states/eV/cell. Its total magnetic moment is 1.0 μB/f.u.

---

2.
VASP calculation (PBE) on Li3UPb2S6 after structural relaxation.

a = 7.2209 Å, b = 7.2209 Å, c = 6.5292 Å
α = 99.00°, β = 99.00°, γ = 122.09°
Atoms (fractional coordinates):
Li1 0.0000 0.0000 0.0000
Li2 0.3713 0.6287 0.0000
Li3 0.6287 0.3713 0.0000
U1 0.5000 0.5000 0.5000
Pb1 0.1735 0.8265 0.5000
Pb2 0.8265 0.1735 0.5000
S1 0.1301 0.4223 0.2439
S2 0.2629 0.2629 0.7422
S3 0.4223 0.1301 0.2439
S4 0.5777 0.8699 0.7561
S5 0.7371 0.7371 0.2578
S6 0.8699 0.5777 0.7561

Its symmetry is C2/m (12). The value obtained for the density of states at the Fermi level is 0.52 states/eV/cell. Its total magnetic moment is 1.0 μB/f.u.

---

3.
VASP calculation (PBE) on LiUPbS4 after structural relaxation.

a = 7.6700 Å, b = 7.6700 Å, c = 7.6700 Å
α = 114.85°, β = 106.74°, γ = 106.96°
Atoms (fractional coordinates):
Li1 0.0000 0.0000 0.0000
Li2 0.5000 0.0000 0.5000
U1 0.5000 0.0000 0.0000
U2 0.5000 0.5000 0.5000
Pb1 0.0642 0.3142 0.7500
Pb2 0.9358 0.6858 0.2500
S1 0.2227 0.1768 0.4541
S2 0.2227 0.7686 0.0459
S3 0.2946 0.7284 0.5662
S4 0.3379 0.2716 0.0662
S5 0.6621 0.7284 0.9338
S6 0.7054 0.2716 0.4338
S7 0.7773 0.2314 0.9541
S8 0.7773 0.8232 0.5459

Its symmetry is Imma (74). The value obtained for the density of states at the Fermi level is 9.71 states/eV/cell. Its total magnetic moment is 1.0 μB/f.u.

---

4.
VASP calculation (PBE) on LiVPbS2 after structural relaxation.

a = 4.5730 Å, b = 4.5730 Å, c = 5.3683 Å
α = 90.00°, β = 90.00°, γ = 90.00°
Atoms (fractional coordinates):
Li1 0.0000 0.0000 0.0000
V1 0.5000 0.5000 0.5000
Pb1 0.5000 0.5000 0.0000
S1 0.0000 0.5000 0.5000
S2 0.5000 0.0000 0.5000

Its symmetry is P4/mmm (123). The value obtained for the density of states at the Fermi level is 3.20 states/eV/cell. Its total magnetic moment is 0.0 μB/f.u.

---

5.
VASP calculation (PBE) on Li2YPbS after structural relaxation.

a = 4.6398 Å, b = 4.6398 Å, c = 5.3722 Å
α = 90.00°, β = 90.00°, γ = 90.00°
Atoms (fractional coordinates):
Li1 0.0000 0.5000 0.0000
Li2 0.5000 0.0000 0.0000
Y1 0.0000 0.0000 0.5000
Pb1 0.5000 0.5000 0.5000
S1 0.0000 0.0000 0.0000

Its symmetry is P4/mmm (123). The value obtained for the density of states at the Fermi level is 4.52 states/eV/cell. Its total magnetic moment is 0.0 μB/f.u.

---

6.
VASP calculation (PBE) on LiY2PbS4 after structural relaxation.

a = 8.0180 Å, b = 8.0180 Å, c = 8.0180 Å
α = 119.90°, β = 119.64°, γ = 90.40°
Atoms (fractional coordinates):
Li1 0.0000 0.0000 0.0000
Li2 0.5000 0.0000 0.5000
Y1 0.0000 0.5000 0.5000
Y2 0.5000 0.0000 0.0000
Y3 0.5000 0.5000 0.0000
Y4 0.5000 0.5000 0.5000
Pb1 0.0000 0.0000 0.5000
Pb2 0.0000 0.5000 0.0000
S1 0.2577 0.2633 0.5056
S2 0.2577 0.7522 0.9944
S3 0.2646 0.2489 0.0157
S4 0.2667 0.7511 0.5157
S5 0.7333 0.2489 0.4843
S6 0.7354 0.7511 0.9843
S7 0.7423 0.2478 0.0056
S8 0.7423 0.7367 0.4944

Its symmetry is Imma (74). The value obtained for the density of states at the Fermi level is 6.89 states/eV/cell. Its total magnetic moment is 0.0 μB/f.u.

---

7.
VASP calculation (PBE) on LiYPb2S4 after structural relaxation.

a = 6.9332 Å, b = 4.0648 Å, c = 7.1319 Å
α = 90.00°, β = 108.52°, γ = 90.00°
Atoms (fractional coordinates):
Li1 0.0000 0.0000 0.0000
Y1 0.5000 0.5000 0.0000
Pb1 0.0000 0.5000 0.5000
Pb2 0.5000 0.0000 0.5000
S1 0.2464 0.5000 0.2257
S2 0.2587 0.0000 0.7779
S3 0.7413 0.0000 0.2221
S4 0.7536 0.5000 0.7743

Its symmetry is P2/m (10). Its total magnetic moment is 0.0 μB/f.u.

---

8.
VASP calculation (PBE) on Li2Zr3PbS8 after structural relaxation.

a = 7.9469 Å, b = 7.9469 Å, c = 7.9469 Å
α = 57.57°, β = 57.57°, γ = 57.57°
Atoms (fractional coordinates):
Li1 0.0000 0.0000 0.0000
Li2 0.3748 0.3748 0.3748
Zr1 0.4815 0.9929 0.9929
Zr2 0.9929 0.4815 0.9929
Zr3 0.9929 0.9929 0.4815
Pb1 0.6105 0.6105 0.6105
S1 0.1846 0.7570 0.7570
S2 0.2323 0.2323 0.2323
S3 0.2448 0.2448 0.7676
S4 0.2448 0.7676 0.2448
S5 0.7550 0.7550 0.7550
S6 0.7570 0.1846 0.7570
S7 0.7570 0.7570 0.1846
S8 0.7676 0.2448 0.2448

Its symmetry is R3m (160). Its total magnetic moment is 0.0 μB/f.u.

---

9.
VASP calculation (PBE) on Li2ZrPbS after structural relaxation.

a = 4.4795 Å, b = 4.4795 Å, c = 5.0724 Å
α = 90.00°, β = 90.00°, γ = 90.00°
Atoms (fractional coordinates):
Li1 0.0000 0.5000 0.0000
Li2 0.5000 0.0000 0.0000
Zr1 0.0000 0.0000 0.5000
Pb1 0.5000 0.5000 0.5000
S1 0.0000 0.0000 0.0000

Its symmetry is P4/mmm (123). The value obtained for the density of states at the Fermi level is 1.95 states/eV/cell. Its total magnetic moment is 0.0 μB/f.u.

---

10.
VASP calculation (PBE) on LiZrPbS3 after structural relaxation.

a = 8.1574 Å, b = 3.7730 Å, c = 8.7136 Å
α = 90.00°, β = 107.37°, γ = 90.00°
Atoms (fractional coordinates):
Li1 0.0848 0.2500 0.0988
Li2 0.9152 0.7500 0.9012
Zr1 0.3466 0.7500 0.3517
Zr2 0.6534 0.2500 0.6483
Pb1 0.1844 0.2500 0.7545
Pb2 0.8156 0.7500 0.2455
S1 0.1234 0.2500 0.3783
S2 0.2228 0.7500 0.0331
S3 0.4350 0.7500 0.6607
S4 0.5650 0.2500 0.3393
S5 0.7772 0.2500 0.9669
S6 0.8766 0.7500 0.6217

Its symmetry is P2_1/m (11). The value obtained for the density of states at the Fermi level is 5.06 states/eV/cell. Its total magnetic moment is 0.0 μB/f.u.

---

11.
VASP calculation (PBE) on Li6SbPb2 after structural relaxation.

a = 5.6389 Å, b = 5.6389 Å, c = 5.6295 Å
α = 91.90°, β = 91.90°, γ = 91.80°
Atoms (fractional coordinates):
Li1 0.1656 0.5002 0.3347
Li2 0.1655 0.8345 0.0000
Li3 0.5002 0.1656 0.3347
Li4 0.4998 0.8344 0.6653
Li5 0.8345 0.1655 0.0000
Li6 0.8344 0.4998 0.6653
Sb1 0.0000 0.0000 0.5000
Pb1 0.3343 0.3343 0.8344
Pb2 0.6657 0.6657 0.1656

Its symmetry is C2/m (12). The value obtained for the density of states at the Fermi level is 2.89 states/eV/cell. Its total magnetic moment is 0.0 μB/f.u.

---

12.
VASP calculation (PBE) on Li2Sb2Pb after structural relaxation.

a = 8.4832 Å, b = 8.4832 Å, c = 3.3071 Å
α = 90.00°, β = 90.00°, γ = 90.00°
Atoms (fractional coordinates):
Li1 0.1175 0.3825 0.0000
Li2 0.3825 0.8825 0.0000
Li3 0.6175 0.1175 0.0000
Li4 0.8825 0.6175 0.0000
Sb1 0.1783 0.6783 0.5000
Sb2 0.3217 0.1783 0.5000
Sb3 0.6783 0.8217 0.5000
Sb4 0.8217 0.3217 0.5000
Pb1 0.0000 0.0000 0.0000
Pb2 0.5000 0.5000 0.0000

The value obtained for the energy above the most stable polymorph in this dataset is 32 meV/atom. Its symmetry is P4/mbm (127). The value obtained for the density of states at the Fermi level is 2.87 states/eV/cell. Its total magnetic moment is 0.0 μB/f.u.

---

Number 1: formation energy without anion corrections -944 meV per atom. Number 2: formation energy without anion corrections -1069 meV per atom. Number 3: formation energy without anion corrections -1043 meV per atom. Number 4: formation energy without anion corrections -176 meV per atom. Number 5: formation energy without anion corrections -874 meV per atom. Number 6: formation energy without anion corrections -1489 meV per atom. Number 7: formation energy without anion corrections -1138 meV per atom. Number 8: formation energy without anion corrections -1301 meV per atom. Number 9: formation energy without anion corrections -695 meV per atom. Number 10: formation energy without anion corrections -1084 meV per atom. Number 11: formation energy without anion corrections -340 meV per atom. Number 12: formation energy without anion corrections -281 meV per atom.